DFT (PBE) results for CsPtOF2 after structural relaxation.

Geometry as POSCAR:
```
CsPtOF2
1.0
-2.896 3.020 -2.295
-2.327 -3.695 -1.926
-2.391 -0.040 2.966
Pt F O Cs
1 2 1 1
Cartesian
0.000 0.000 0.000
-1.163 -1.847 -0.963
-1.448 1.510 -1.147
-1.196 -0.020 1.483
-3.807 -0.357 -0.628
```

Results
**ΔE to the lowest computed polymorph**: 0.000 eV/atom
**Mass density**: 7.31 g/cm³
**Magnetization**: 0.0 μB/f.u.
**Space-group type**: P4/mmm, No. 123

DFT (PBE) results for CsPtO2F after structural relaxation.

Geometry as POSCAR:
```
CsPtO2F
1.0
-0.337 -4.096 -1.311
0.532 -1.345 4.064
-5.372 0.196 0.768
Cs O Pt F
1 2 1 1
Cartesian
0.000 0.000 0.000
0.266 -0.672 2.032
-0.168 -2.048 -0.656
-2.589 -2.622 1.760
-2.686 0.098 0.384
```

Results
**Mass density**: 6.23 g/cm³
**Magnetization**: 1.1 μB/f.u.
**DFT total energy**: -13.90 eV for the cell shown
**Space-group type**: P4/mmm, No. 123